Run a
{
  "formula": "KSiIr",
  "functional": "GGA-PBE",
  "state": "relaxed",
  "dos_at_fermi_per_ev_atom": 0.11,
  "lattice": [[-3.867, -1.476, 0.123], [1.347, -3.361, 2.010], [-1.341, 4.173, 7.876]],
  "species": ["K", "K", "Ir", "Si", "Si", "Ir"],
  "fractional_positions": [[0.500, 0.000, 0.181], [0.000, 0.500, 0.819], [0.500, 0.500, 0.500], [0.500, 0.000, 0.634], [0.000, 0.500, 0.366], [0.000, 0.000, 0.500]]
}

=====

Run b
{
  "formula": "KSiIr",
  "functional": "GGA-PBE",
  "state": "relaxed",
  "dos_at_fermi_per_ev_atom": 0.46,
  "lattice": [[-1.506, -4.561, 4.476], [2.756, -2.490, 5.414], [-2.335, 4.805, -3.816]],
  "species": ["Si", "Ir", "K"],
  "fractional_positions": [[0.590, 0.590, 0.000], [0.075, 0.075, 0.000], [0.335, 0.335, 0.000]]
}

=====

Which of them is most stable? Easy: run a.

=====

Run a
{
  "formula": "KSi2Ir",
  "functional": "GGA-PBE",
  "state": "relaxed",
  "dos_at_fermi_per_ev_atom": 0.65,
  "lattice": [[4.232, 0.007, 0.000], [3.191, 2.780, 0.000], [0.806, 0.303, 7.046]],
  "species": ["K", "Si", "Ir", "Si"],
  "fractional_positions": [[0.250, 0.250, 0.250], [0.019, 0.019, 0.899], [0.750, 0.750, 0.750], [0.481, 0.481, 0.601]]
}

=====

Run b
{
  "formula": "KSi2Ir",
  "functional": "GGA-PBE",
  "state": "relaxed",
  "dos_at_fermi_per_ev_atom": 0.59,
  "lattice": [[6.624, 0.021, 0.013], [5.345, 3.912, 0.013], [5.345, 1.756, 3.496]],
  "species": ["Si", "Si", "Ir", "K"],
  "fractional_positions": [[0.551, 0.551, 0.551], [0.949, 0.949, 0.949], [0.250, 0.250, 0.250], [0.750, 0.750, 0.750]]
}

=====

Run c
{
  "formula": "KSi2Ir",
  "functional": "GGA-PBE",
  "state": "relaxed",
  "dos_at_fermi_per_ev_atom": 0.40,
  "lattice": [[-2.934, 1.981, -2.999], [-4.498, 0.393, 1.071], [-1.807, 4.171, 0.934]],
  "species": ["Si", "Si", "Ir", "K"],
  "fractional_positions": [[0.250, 0.250, 0.250], [0.000, 0.000, 0.000], [0.500, 0.500, 0.500], [0.750, 0.750, 0.750]]
}

=====

Run d
{
  "formula": "KSi2Ir",
  "functional": "GGA-PBE",
  "state": "relaxed",
  "dos_at_fermi_per_ev_atom": 0.40,
  "lattice": [[5.854, -0.014, -0.018], [2.484, 5.301, 0.018], [-3.209, -4.157, 2.586]],
  "species": ["Ir", "K", "Si", "Si"],
  "fractional_positions": [[0.560, 0.560, 0.000], [0.249, 0.749, 0.500], [0.950, 0.950, 0.000], [0.741, 0.241, 0.500]]
}

=====

Which of them is most stable? Easy: run b.

=====

Run a
{
  "formula": "KSi2Ir",
  "functional": "GGA-PBE",
  "state": "relaxed",
  "dos_at_fermi_per_ev_atom": 0.57,
  "lattice": [[4.230, 0.004, 0.009], [3.179, 2.789, 0.009], [3.200, 1.207, 7.083]],
  "species": ["Si", "K", "Si", "Ir"],
  "fractional_positions": [[0.082, 0.082, 0.898], [0.204, 0.204, 0.254], [0.781, 0.781, 0.602], [0.433, 0.433, 0.746]]
}

=====

Run b
{
  "formula": "KSi2Ir",
  "functional": "GGA-PBE",
  "state": "relaxed",
  "dos_at_fermi_per_ev_atom": 0.43,
  "lattice": [[-1.149, 5.746, 2.421], [-0.010, -4.314, 3.379], [2.015, 1.054, 1.350]],
  "species": ["Si", "Ir", "Si", "K"],
  "fractional_positions": [[0.500, 0.000, 0.500], [0.000, 0.500, 0.500], [0.000, 0.000, 0.000], [0.500, 0.500, 0.000]]
}

=====

Which of them is most stable? Easy: run a.

=====

Run a
{
  "formula": "KSi2Ir",
  "functional": "GGA-PBE",
  "state": "relaxed",
  "dos_at_fermi_per_ev_atom": 0.35,
  "lattice": [[4.141, 0.000, 0.000], [0.000, 4.152, 0.000], [0.000, 0.000, 4.152]],
  "species": ["Si", "K", "Si", "Ir"],
  "fractional_positions": [[0.000, 0.000, 0.000], [0.500, 0.000, 0.500], [0.000, 0.500, 0.500], [0.500, 0.500, 0.000]]
}

=====

Run b
{
  "formula": "KSi2Ir",
  "functional": "GGA-PBE",
  "state": "relaxed",
  "dos_at_fermi_per_ev_atom": 0.58,
  "lattice": [[2.835, 0.000, 0.000], [0.000, 3.542, 0.000], [0.000, 0.000, 7.661]],
  "species": ["Si", "Si", "K", "Ir"],
  "fractional_positions": [[0.000, 0.000, 0.419], [0.000, 0.000, 0.081], [0.500, 0.500, 0.750], [0.500, 0.500, 0.250]]
}

=====

Run c
{
  "formula": "KSi2Ir",
  "functional": "GGA-PBE",
  "state": "relaxed",
  "dos_at_fermi_per_ev_atom": 0.38,
  "lattice": [[-0.775, -3.560, -2.701], [-3.824, -2.397, 0.449], [-3.211, 0.234, -3.195]],
  "species": ["Si", "Si", "Ir", "K"],
  "fractional_positions": [[0.250, 0.250, 0.250], [0.750, 0.750, 0.750], [0.500, 0.500, 0.500], [0.000, 0.000, 0.000]]
}

=====

Which of them is most stable? Easy: run b.

=====

Run a
{
  "formula": "KSi2Ir",
  "functional": "GGA-PBE",
  "state": "relaxed",
  "dos_at_fermi_per_ev_atom": 0.70,
  "lattice": [[3.830, 0.000, 0.000], [0.000, 2.976, 0.111], [0.000, 1.188, 7.350]],
  "species": ["Ir", "K", "Si", "Si"],
  "fractional_positions": [[0.000, 0.507, 0.365], [0.500, 0.805, 0.756], [0.500, 0.041, 0.298], [0.000, 0.146, 0.081]]
}

=====

Run b
{
  "formula": "KSi2Ir",
  "functional": "GGA-PBE",
  "state": "relaxed",
  "dos_at_fermi_per_ev_atom": 0.76,
  "lattice": [[-2.348, -3.585, -3.456], [-2.219, -2.927, 4.102], [-0.552, 5.072, -2.070]],
  "species": ["Si", "Ir", "Si", "K"],
  "fractional_positions": [[0.900, 0.900, 0.000], [0.750, 0.250, 0.500], [0.600, 0.600, 0.000], [0.250, 0.750, 0.500]]
}

=====

Run c
{
  "formula": "KSi2Ir",
  "functional": "GGA-PBE",
  "state": "relaxed",
  "dos_at_fermi_per_ev_atom": 0.51,
  "lattice": [[3.158, 0.009, 0.000], [-0.009, 3.158, 0.000], [0.000, 0.000, 7.797]],
  "species": ["Si", "Ir", "K", "Si"],
  "fractional_positions": [[0.500, 0.500, 0.269], [0.000, 0.000, 0.399], [0.500, 0.500, 0.752], [0.000, 0.000, 0.079]]
}

=====

Run d
{
  "formula": "KSi2Ir",
  "functional": "GGA-PBE",
  "state": "relaxed",
  "dos_at_fermi_per_ev_atom": 0.00,
  "lattice": [[-5.412, -2.372, 0.741], [2.485, -5.164, 1.621], [-1.467, -1.769, 7.555]],
  "species": ["Ir", "Si", "Ir", "K", "Si", "K", "Si", "Si"],
  "fractional_positions": [[0.000, 0.000, 0.000], [0.875, 0.125, 0.750], [0.750, 0.250, 0.500], [0.500, 0.500, 0.000], [0.875, 0.125, 0.250], [0.250, 0.750, 0.500], [0.875, 0.625, 0.250], [0.375, 0.125, 0.750]]
}

=====

Which of them is most stable? Easy: run d.

=====

Run a
{
  "formula": "KSiIr3",
  "functional": "GGA-PBE",
  "state": "relaxed",
  "dos_at_fermi_per_ev_atom": 0.92,
  "lattice": [[4.568, 0.000, 0.000], [0.000, 4.568, 0.000], [0.000, 0.000, 4.568]],
  "species": ["Ir", "Ir", "Si", "K", "Ir"],
  "fractional_positions": [[0.000, 0.500, 0.000], [0.500, 0.000, 0.000], [0.000, 0.000, 0.000], [0.500, 0.500, 0.500], [0.000, 0.000, 0.500]]
}

=====

Run b
{
  "formula": "KSiIr3",
  "functional": "GGA-PBE",
  "state": "relaxed",
  "dos_at_fermi_per_ev_atom": 1.37,
  "lattice": [[4.714, 0.000, 0.000], [0.000, 4.714, 0.000], [0.000, 0.000, 4.714]],
  "species": ["Ir", "Ir", "Ir", "K", "Si"],
  "fractional_positions": [[0.000, 0.500, 0.000], [0.000, 0.000, 0.500], [0.500, 0.000, 0.000], [0.000, 0.000, 0.000], [0.500, 0.500, 0.500]]
}

=====

Which of them is most stable? Easy: run a.

=====

Run a
{
  "formula": "KSi3Ir",
  "functional": "GGA-PBE",
  "state": "relaxed",
  "dos_at_fermi_per_ev_atom": 1.15,
  "lattice": [[4.810, 0.000, 0.000], [0.000, 4.810, 0.000], [0.000, 0.000, 4.810]],
  "species": ["Ir", "Si", "K", "Si", "Si"],
  "fractional_positions": [[0.000, 0.000, 0.000], [0.500, 0.000, 0.000], [0.500, 0.500, 0.500], [0.000, 0.000, 0.500], [0.000, 0.500, 0.000]]
}

=====

Run b
{
  "formula": "KSi3Ir",
  "functional": "GGA-PBE",
  "state": "relaxed",
  "dos_at_fermi_per_ev_atom": 0.67,
  "lattice": [[4.869, 0.000, 0.000], [0.000, 4.869, 0.000], [0.000, 0.000, 4.869]],
  "species": ["Si", "K", "Ir", "Si", "Si"],
  "fractional_positions": [[0.500, 0.000, 0.000], [0.000, 0.000, 0.000], [0.500, 0.500, 0.500], [0.000, 0.000, 0.500], [0.000, 0.500, 0.000]]
}

=====

Which of them is most stable? Easy: run a.

=====

Run a
{
  "formula": "K2SnIr",
  "functional": "GGA-PBE",
  "state": "relaxed",
  "dos_at_fermi_per_ev_atom": 0.80,
  "lattice": [[-2.799, -2.126, 2.251], [3.093, -2.047, 1.913], [0.516, 6.331, 10.492]],
  "species": ["Ir", "Sn", "Ir", "K", "K", "Sn", "K", "K"],
  "fractional_positions": [[0.750, 0.250, 0.500], [0.500, 0.500, 0.000], [0.000, 0.000, 0.000], [0.375, 0.365, 0.750], [0.115, 0.625, 0.250], [0.250, 0.750, 0.500], [0.635, 0.125, 0.250], [0.875, 0.885, 0.750]]
}

=====

Run b
{
  "formula": "K2SnIr",
  "functional": "GGA-PBE",
  "state": "relaxed",
  "dos_at_fermi_per_ev_atom": 1.14,
  "lattice": [[5.256, 0.955, 1.046], [1.415, 4.029, 3.376], [2.052, -1.155, 4.908]],
  "species": ["K", "Ir", "Sn", "K"],
  "fractional_positions": [[0.250, 0.250, 0.250], [0.500, 0.500, 0.500], [0.000, 0.000, 0.000], [0.750, 0.750, 0.750]]
}

=====

Which of them is most stable? Easy: run a.

=====

Run a
{
  "formula": "KSn2Ir2",
  "functional": "GGA-PBE",
  "state": "relaxed",
  "dos_at_fermi_per_ev_atom": 0.48,
  "lattice": [[-0.783, -3.051, -3.088], [1.691, -3.105, 2.639], [-5.054, -4.063, 2.146]],
  "species": ["Ir", "Sn", "Sn", "Ir", "K"],
  "fractional_positions": [[0.250, 0.750, 0.500], [0.368, 0.368, 0.264], [0.632, 0.632, 0.736], [0.750, 0.250, 0.500], [0.000, 0.000, 0.000]]
}

=====

Run b
{
  "formula": "KSn2Ir2",
  "functional": "GGA-PBE",
  "state": "relaxed",
  "dos_at_fermi_per_ev_atom": 0.55,
  "lattice": [[4.677, 0.000, 0.000], [0.000, 4.677, 0.000], [2.339, 2.339, 5.276]],
  "species": ["K", "Sn", "Ir", "Ir", "Sn"],
  "fractional_positions": [[0.000, 0.000, 0.000], [0.750, 0.250, 0.500], [0.383, 0.383, 0.234], [0.617, 0.617, 0.766], [0.250, 0.750, 0.500]]
}

=====

Which of them is most stable? Easy: run a.

=====

Run a
{
  "formula": "K2SrIr",
  "functional": "GGA-PBE",
  "state": "relaxed",
  "dos_at_fermi_per_ev_atom": 0.61,
  "lattice": [[4.660, 0.000, 0.000], [0.000, 4.664, 0.000], [0.000, 0.000, 5.897]],
  "species": ["K", "Sr", "Ir", "K"],
  "fractional_positions": [[0.500, 0.500, 0.000], [0.500, 0.000, 0.500], [0.000, 0.500, 0.500], [0.000, 0.000, 0.000]]
}

=====

Run b
{
  "formula": "K2SrIr",
  "functional": "GGA-PBE",
  "state": "relaxed",
  "dos_at_fermi_per_ev_atom": 1.66,
  "lattice": [[3.619, 0.000, 0.000], [0.000, 3.619, 0.000], [0.000, 0.000, 12.111]],
  "species": ["Sr", "K", "K", "Ir"],
  "fractional_positions": [[0.500, 0.500, 0.250], [0.000, 0.000, 0.582], [0.000, 0.000, 0.918], [0.500, 0.500, 0.750]]
}

=====

Run c
{
  "formula": "K2SrIr",
  "functional": "GGA-PBE",
  "state": "relaxed",
  "dos_at_fermi_per_ev_atom": 0.87,
  "lattice": [[6.013, 0.000, 0.000], [0.000, 4.760, -0.003], [0.000, 0.710, 4.719]],
  "species": ["Sr", "K", "K", "Ir"],
  "fractional_positions": [[0.500, 0.250, 0.250], [0.000, 0.540, 0.540], [0.000, 0.960, 0.960], [0.500, 0.750, 0.750]]
}

=====

Which of them is most stable? Easy: run a.

=====

Run a
{
  "formula": "K2SrIr",
  "functional": "GGA-PBE",
  "state": "relaxed",
  "dos_at_fermi_per_ev_atom": 0.99,
  "lattice": [[-3.088, -3.217, -1.201], [3.301, -2.336, -2.232], [2.683, -9.173, 8.789]],
  "species": ["K", "Sr", "K", "Ir", "K", "Ir", "Sr", "K"],
  "fractional_positions": [[0.095, 0.625, 0.250], [0.250, 0.750, 0.500], [0.375, 0.345, 0.750], [0.750, 0.250, 0.500], [0.875, 0.905, 0.750], [0.000, 0.000, 0.000], [0.500, 0.500, 0.000], [0.655, 0.125, 0.250]]
}

=====

Run b
{
  "formula": "K2SrIr",
  "functional": "GGA-PBE",
  "state": "relaxed",
  "dos_at_fermi_per_ev_atom": 1.02,
  "lattice": [[1.723, 1.634, 5.084], [2.923, 4.755, 0.578], [-2.355, 4.459, 2.461]],
  "species": ["K", "K", "Ir", "Sr"],
  "fractional_positions": [[0.250, 0.250, 0.250], [0.750, 0.750, 0.750], [0.500, 0.500, 0.500], [0.000, 0.000, 0.000]]
}

=====

Run c
{
  "formula": "K2SrIr",
  "functional": "GGA-PBE",
  "state": "relaxed",
  "dos_at_fermi_per_ev_atom": 0.63,
  "lattice": [[-7.174, -0.793, -6.995], [-8.423, -3.086, -4.535], [-3.364, 3.288, 1.359]],
  "species": ["K", "Sr", "Ir", "K"],
  "fractional_positions": [[0.902, 0.902, 0.097], [0.750, 0.750, 0.750], [0.250, 0.250, 0.250], [0.598, 0.598, 0.403]]
}

=====

Which of them is most stable? Easy: run c.